[1]
Here is a relaxed Pu3Pa2Ga7 crystal from Alexandria via LeMat-Bulk. Energies are from PBE.

a = 9.9203 Å, b = 9.9203 Å, c = 9.9203 Å
α = 31.95°, β = 31.95°, γ = 31.95°
Positions (direct):
Pu (0.0000, 0.0000, 0.0000)
Pu (0.1875, 0.1875, 0.1875)
Pu (0.8125, 0.8125, 0.8125)
Pa (0.3195, 0.3195, 0.3195)
Pa (0.6805, 0.6805, 0.6805)
Ga (0.2463, 0.7460, 0.7460)
Ga (0.2540, 0.2540, 0.7537)
Ga (0.2540, 0.7537, 0.2540)
Ga (0.5000, 0.5000, 0.5000)
Ga (0.7460, 0.2463, 0.7460)
Ga (0.7460, 0.7460, 0.2463)
Ga (0.7537, 0.2540, 0.2540)

Summary:
E in eV per atom: -7.2362
ΔH_f (0 K) in meV per atom: -305



[2]
Here is a relaxed PuPaGaRe crystal from Alexandria via LeMat-Bulk. Energies are from PBE.

a = 4.9206 Å, b = 4.9206 Å, c = 4.9206 Å
α = 60.00°, β = 60.00°, γ = 60.00°
Positions (direct):
Pu (0.0000, 0.0000, 0.0000)
Pa (0.5000, 0.5000, 0.5000)
Ga (0.7500, 0.7500, 0.7500)
Re (0.2500, 0.2500, 0.2500)

Summary:
E in eV per atom: -9.8283
ΔH_f (0 K) in meV per atom: -3



[3]
Here is a relaxed PuPaGaRh crystal from Alexandria via LeMat-Bulk. Energies are from PBE.

a = 4.7983 Å, b = 4.7983 Å, c = 4.7983 Å
α = 60.00°, β = 60.00°, γ = 60.00°
Positions (direct):
Pu (0.0000, 0.0000, 0.0000)
Pa (0.2500, 0.2500, 0.2500)
Ga (0.7500, 0.7500, 0.7500)
Rh (0.5000, 0.5000, 0.5000)

Summary:
E in eV per atom: -9.0071
ΔH_f (0 K) in meV per atom: -456



[4]
Here is a relaxed Pu2PaGa2Ru5 crystal from Alexandria via LeMat-Bulk. Energies are from PBE.

a = 9.9892 Å, b = 9.9892 Å, c = 3.5787 Å
α = 90.00°, β = 90.00°, γ = 90.00°
Positions (direct):
Pu (0.1675, 0.3325, 0.0000)
Pu (0.3325, 0.8325, 0.0000)
Pu (0.6675, 0.1675, 0.0000)
Pu (0.8325, 0.6675, 0.0000)
Pa (0.0000, 0.0000, 0.0000)
Pa (0.5000, 0.5000, 0.0000)
Ga (0.1279, 0.6279, 0.0000)
Ga (0.3721, 0.1279, 0.0000)
Ga (0.6279, 0.8721, 0.0000)
Ga (0.8721, 0.3721, 0.0000)
Ru (0.0000, 0.5000, 0.5000)
Ru (0.0738, 0.7988, 0.5000)
Ru (0.2012, 0.0738, 0.5000)
Ru (0.2988, 0.5738, 0.5000)
Ru (0.4262, 0.2988, 0.5000)
Ru (0.5000, 0.0000, 0.5000)
Ru (0.5738, 0.7012, 0.5000)
Ru (0.7012, 0.4262, 0.5000)
Ru (0.7988, 0.9262, 0.5000)
Ru (0.9262, 0.2012, 0.5000)

Summary:
E in eV per atom: -9.3662
ΔH_f (0 K) in meV per atom: -307



[5]
Here is a relaxed PuScPaGa crystal from Alexandria via LeMat-Bulk. Energies are from PBE.

a = 4.9720 Å, b = 4.9720 Å, c = 4.9720 Å
α = 60.00°, β = 60.00°, γ = 60.00°
Positions (direct):
Pu (0.0000, 0.0000, 0.0000)
Sc (0.5000, 0.5000, 0.5000)
Pa (0.7500, 0.7500, 0.7500)
Ga (0.2500, 0.2500, 0.2500)

Summary:
E in eV per atom: -8.3229
ΔH_f (0 K) in meV per atom: -26



[6]
Here is a relaxed PuPaGaSi crystal from Alexandria via LeMat-Bulk. Energies are from PBE.

a = 3.8908 Å, b = 5.8352 Å, c = 5.8352 Å
α = 42.45°, β = 90.00°, γ = 90.00°
Positions (direct):
Pu (0.0000, 0.0000, 0.0000)
Pa (0.5000, 0.3031, 0.3031)
Ga (0.5000, 0.5852, 0.5852)
Si (0.0000, 0.7283, 0.7283)

Summary:
E in eV per atom: -8.3984
Formation energy from raw total energies in meV/atom: -329.0